Entry 1:
BeTlAu2 | PBE | optimized geometry

a = 4.1749 Å, b = 4.1749 Å, c = 8.2885 Å
α = 90.00°, β = 90.00°, γ = 90.00°
Closest atoms and distances in Å follow each position.
Space group I-4m2 (No. 119)
Inequivalent atoms, fractional coordinates:
Be 0.0000 0.0000 0.0000 [2 per cell]  4 Tl 2.94, 8 Au 2.94-2.95
Tl 0.0000 0.5000 0.7500 [2 per cell]  4 Be 2.94, 8 Au 2.94-2.95
Au 0.0000 0.0000 0.5000 [2 per cell]  4 Tl 2.94, 4 Au 2.94, 4 Be 2.95
Au 0.0000 0.5000 0.2500 [2 per cell]  4 Be 2.94, 4 Au 2.94, 4 Tl 2.95

distance to the lowest polymorph of the same formula	323	meV/atom

Entry 2:
Ba2NpPdO6 | PBE | optimized geometry

a = 11.4122 Å, b = 5.7644 Å, c = 5.7306 Å
α = 90.00°, β = 118.54°, γ = 90.00°
Closest atoms and distances in Å follow each position.
Space group C2/m (No. 12)
Inequivalent atoms, fractional coordinates:
Ba 0.2459 0.0000 0.2250 [4 per cell]  7 O 2.66-2.98
Np 0.0000 0.5000 0.0000 [2 per cell]  6 O 1.99-2.13
Pd 0.0000 0.0000 0.5000 [2 per cell]  4 O 2.05
O 0.0475 0.2437 0.7913 [8 per cell]  1 Pd 2.05, 1 Np 2.13
O 0.1929 0.5000 0.2654 [4 per cell]  1 Np 1.99

formation energy (no corrections)	-2425	meV/atom

Entry 3:
Pd2SeBr3 | PBE | optimized geometry

a = 18.5793 Å, b = 3.7329 Å, c = 13.2594 Å
α = 90.00°, β = 134.24°, γ = 90.00°
Closest atoms and distances in Å follow each position.
Space group C2/m (No. 12)
Inequivalent atoms, fractional coordinates:
Pd 0.1151 0.0000 0.0240 [4 per cell]  2 Se 2.45-2.47, 2 Br 2.60
Pd 0.1304 0.5000 0.3361 [4 per cell]  4 Br 2.49-2.73, 2 Se 2.56
Se 0.0706 0.0000 0.1598 [4 per cell]  4 Pd 2.45-2.56
Br 0.0460 0.5000 0.7745 [4 per cell]  1 Pd 2.49
Br 0.1820 0.0000 0.5279 [4 per cell]  3 Pd 2.58-2.73
Br 0.2486 0.0000 0.8485 [4 per cell]  2 Pd 2.60

formation energy (no corrections)	-181	meV/atom
distance to the lowest polymorph of the same formula	0	meV/atom

Entry 4:
Fe3WN | PBE | optimized geometry

a = 3.7820 Å, b = 3.7820 Å, c = 3.7820 Å
α = 90.00°, β = 90.00°, γ = 90.00°
Closest atoms and distances in Å follow each position.
Space group Pm-3m (No. 221)
Inequivalent atoms, fractional coordinates:
Fe 0.0000 0.0000 0.5000 [3 per cell]  2 N 1.89
W 0.5000 0.5000 0.5000 [1 per cell]  12 Fe 2.67
N 0.0000 0.0000 0.0000 [1 per cell]  6 Fe 1.89

formation energy (no corrections)	158	meV/atom
distance to the lowest polymorph of the same formula	0	meV/atom

Entry 5:
Cs2LiCdAs | PBE | optimized geometry

a = 6.7443 Å, b = 6.7443 Å, c = 4.7006 Å
α = 90.00°, β = 90.00°, γ = 90.00°
Closest atoms and distances in Å follow each position.
Space group P4/mmm (No. 123)
Inequivalent atoms, fractional coordinates:
Cs 0.0000 0.5000 0.0000 [2 per cell]  2 Li 3.37
Li 0.0000 0.0000 0.0000 [1 per cell]  2 As 2.35
Cd 0.5000 0.5000 0.5000 [1 per cell]  8 Cs 4.11
As 0.0000 0.0000 0.5000 [1 per cell]  2 Li 2.35

Entry 6:
Ba2TlAgRh | PBE | optimized geometry

a = 5.9794 Å, b = 5.9794 Å, c = 5.2657 Å
α = 90.00°, β = 90.00°, γ = 90.00°
Closest atoms and distances in Å follow each position.
Space group P4/mmm (No. 123)
Inequivalent atoms, fractional coordinates:
Ba 0.0000 0.5000 0.0000 [2 per cell]  2 Rh 2.99
Tl 0.0000 0.0000 0.5000 [1 per cell]  2 Rh 2.63
Ag 0.5000 0.5000 0.5000 [1 per cell]  8 Ba 3.98, 4 Tl 4.23
Rh 0.0000 0.0000 0.0000 [1 per cell]  2 Tl 2.63

Entry 7:
CaZrSn2F | PBE | optimized geometry

a = 5.9246 Å, b = 5.9246 Å, c = 3.9145 Å
α = 90.00°, β = 90.00°, γ = 90.00°
Closest atoms and distances in Å follow each position.
Space group P4/mmm (No. 123)
Inequivalent atoms, fractional coordinates:
Ca 0.0000 0.0000 0.0000 [1 per cell]  2 F 1.96
Zr 0.5000 0.5000 0.5000 [1 per cell]  8 Sn 3.55, 2 Zr 3.91
Sn 0.0000 0.5000 0.0000 [2 per cell]  2 Ca 2.96
F 0.0000 0.0000 0.5000 [1 per cell]  2 Ca 1.96

formation energy (no corrections)	-486	meV/atom

Entry 8:
KCoAu | PBE | optimized geometry

a = 6.6886 Å, b = 6.6886 Å, c = 6.6886 Å
α = 90.00°, β = 90.00°, γ = 90.00°
Closest atoms and distances in Å follow each position.
Space group F-43m (No. 216)
Inequivalent atoms, fractional coordinates:
K 0.0000 0.0000 0.0000 [4 per cell]  4 Co 2.90
Co 0.2500 0.2500 0.7500 [4 per cell]  4 K 2.90, 4 Au 2.90
Au 0.0000 0.0000 0.5000 [4 per cell]  4 Co 2.90

distance to the lowest polymorph of the same formula	484	meV/atom

Entry 9:
ErGePd4 | PBE | optimized geometry

a = 4.0017 Å, b = 4.0017 Å, c = 7.1919 Å
α = 90.00°, β = 90.00°, γ = 90.00°
Closest atoms and distances in Å follow each position.
Space group P4/mmm (No. 123)
Inequivalent atoms, fractional coordinates:
Er 0.0000 0.0000 0.0000 [1 per cell]  8 Pd 2.88
Ge 0.5000 0.5000 0.5000 [1 per cell]  8 Pd 2.52
Pd 0.0000 0.5000 0.2871 [4 per cell]  2 Ge 2.52

Entry 10:
Bi2B2ClO6 | PBE | optimized geometry

a = 5.3468 Å, b = 5.7381 Å, c = 6.2900 Å
α = 80.26°, β = 68.30°, γ = 68.88°
Closest atoms and distances in Å follow each position.
Space group P-1 (No. 2)
Inequivalent atoms, fractional coordinates:
Bi 0.0845 0.2954 0.2522 [2 per cell]  4 O 2.20-2.37
B 0.4244 0.6951 0.2744 [2 per cell]  3 O 1.37-1.41
Cl 0.0000 0.0000 0.0000 [1 per cell]  2 Bi 2.75
O 0.2421 0.5530 0.3861 [2 per cell]  1 B 1.41
O 0.3165 0.4233 0.8865 [2 per cell]  1 B 1.39
O 0.3492 0.9293 0.3483 [2 per cell]  1 B 1.37

formation energy (no corrections)	-1585	meV/atom

Entry 11:
Nd2GdHf | PBE | optimized geometry

a = 4.0421 Å, b = 4.0421 Å, c = 7.5054 Å
α = 90.00°, β = 90.00°, γ = 90.00°
Closest atoms and distances in Å follow each position.
Space group P4/mmm (No. 123)
Inequivalent atoms, fractional coordinates:
Nd 0.0000 0.0000 0.2195 [2 per cell]  1 Nd 3.29, 4 Hf 3.30, 4 Gd 3.55
Gd 0.5000 0.5000 0.5000 [1 per cell]  8 Nd 3.55, 2 Hf 3.75
Hf 0.5000 0.5000 0.0000 [1 per cell]  8 Nd 3.30

distance to the lowest polymorph of the same formula	42	meV/atom

Entry 12:
BaLiZnPt | PBE | optimized geometry

a = 7.8164 Å, b = 4.5147 Å, c = 6.1360 Å
α = 90.00°, β = 114.91°, γ = 90.00°
Closest atoms and distances in Å follow each position.
Space group Cm (No. 8)
Inequivalent atoms, fractional coordinates:
Ba 0.0000 0.0000 0.0000 [2 per cell]  1 Li 3.08, 4 Pt 3.32-3.44
Li 0.1849 0.0000 0.5534 [2 per cell]  3 Zn 2.67, 3 Pt 2.74
Zn 0.4838 0.0000 0.4501 [2 per cell]  3 Pt 2.62, 3 Li 2.67
Pt 0.3017 0.5000 0.4033 [2 per cell]  3 Zn 2.62, 3 Li 2.74

Entry 13:
Mg | PBE | optimized geometry

a = 11.2352 Å, b = 11.2352 Å, c = 3.1841 Å
α = 90.00°, β = 90.00°, γ = 90.00°
Closest atoms and distances in Å follow each position.
Space group I4/m (No. 87)
Inequivalent atoms, fractional coordinates:
Mg 0.0938 0.6403 0.0000 [8 per cell]  10 Mg 3.04-3.18
Mg 0.0996 0.1667 0.0000 [8 per cell]  8 Mg 3.04-3.18

distance to the lowest polymorph of the same formula	172	meV/atom

Entry 14:
HfNb3Ga4 | PBE | optimized geometry

a = 5.3073 Å, b = 10.5990 Å, c = 5.3073 Å
α = 90.00°, β = 90.00°, γ = 90.00°
Closest atoms and distances in Å follow each position.
Space group Pmmn (No. 59, origin choice 2)
Inequivalent atoms, fractional coordinates:
Hf 0.2500 0.2500 0.2489 [2 per cell]  6 Ga 2.65-2.69
Nb 0.2500 0.0000 0.7503 [4 per cell]  6 Ga 2.65
Nb 0.2500 0.7500 0.2513 [2 per cell]  6 Ga 2.61-2.65
Ga 0.2500 0.2500 0.7489 [2 per cell]  4 Nb 2.65, 2 Hf 2.65
Ga 0.2500 0.5037 0.2503 [4 per cell]  5 Nb 2.61-2.65, 1 Hf 2.69
Ga 0.2500 0.7500 0.7512 [2 per cell]  4 Nb 2.65, 2 Hf 2.65

Entry 15:
Ca2AsAu | PBE | optimized geometry

a = 4.3936 Å, b = 4.3936 Å, c = 21.7189 Å
α = 90.00°, β = 90.00°, γ = 120.00°
Closest atoms and distances in Å follow each position.
Space group R3m (No. 160, hexagonal axes)
Inequivalent atoms, fractional coordinates:
Ca 0.0000 0.0000 0.0000 [3 per cell]  3 Au 3.04, 3 As 3.37
Ca 0.0000 0.0000 0.1783 [3 per cell]  3 As 3.02, 3 Au 3.36
As 0.0000 0.0000 0.4357 [3 per cell]  3 Au 2.60
Au 0.0000 0.0000 0.7436 [3 per cell]  3 As 2.60

Entry 16:
Cs2Ba2Li | PBE | optimized geometry

a = 9.5636 Å, b = 9.5636 Å, c = 7.7036 Å
α = 90.00°, β = 90.00°, γ = 90.00°
Closest atoms and distances in Å follow each position.
Space group P4/mbm (No. 127)
Inequivalent atoms, fractional coordinates:
Cs 0.1477 0.3523 0.0000 [4 per cell]  2 Li 3.65, 1 Cs 3.99
Ba 0.1801 0.6801 0.5000 [4 per cell]  6 Cs 4.50-4.98, 5 Ba 4.87-4.97
Li 0.0000 0.0000 0.0000 [2 per cell]  4 Cs 3.65

Entry 17:
MnSnAsBr2 | PBE | optimized geometry

a = 5.0250 Å, b = 5.0250 Å, c = 5.1925 Å
α = 90.00°, β = 90.00°, γ = 90.00°
Closest atoms and distances in Å follow each position.
Space group P4/mmm (No. 123)
Inequivalent atoms, fractional coordinates:
Mn 0.0000 0.0000 0.0000 [1 per cell]  4 Br 2.51, 2 As 2.60
Sn 0.5000 0.5000 0.5000 [1 per cell]  4 As 3.55, 8 Br 3.61
As 0.0000 0.0000 0.5000 [1 per cell]  2 Mn 2.60
Br 0.0000 0.5000 0.0000 [2 per cell]  2 Mn 2.51

formation energy (no corrections)	-4	meV/atom
distance to the lowest polymorph of the same formula	0	meV/atom

Entry 18:
Hf3HgC | PBE | optimized geometry

a = 6.4922 Å, b = 3.3251 Å, c = 9.1309 Å
α = 90.00°, β = 110.33°, γ = 90.00°
Closest atoms and distances in Å follow each position.
Space group P2_1/m (No. 11)
Inequivalent atoms, fractional coordinates:
Hf 0.0529 0.2500 0.3753 [2 per cell]  3 C 2.25-2.29
Hf 0.3058 0.2500 0.8994 [2 per cell]  1 C 2.25
Hf 0.4325 0.7500 0.6452 [2 per cell]  2 C 2.25
Hg 0.1908 0.7500 0.1386 [2 per cell]  7 Hf 3.04-3.12, 4 Hg 3.31-3.33
C 0.1944 0.2500 0.6374 [2 per cell]  6 Hf 2.25-2.29

distance to the lowest polymorph of the same formula	69	meV/atom

Entry 19:
CaDy2Pt9 | PBE | optimized geometry

a = 5.4301 Å, b = 5.4301 Å, c = 26.4404 Å
α = 90.00°, β = 90.00°, γ = 120.00°
Closest atoms and distances in Å follow each position.
Space group R-3m (No. 166, hexagonal axes)
Inequivalent atoms, fractional coordinates:
Ca 0.0000 0.0000 0.0000 [3 per cell]  6 Pt 3.14
Dy 0.0000 0.0000 0.1390 [6 per cell]  12 Pt 3.06-3.26
Pt 0.0000 0.0000 0.3327 [6 per cell]  6 Pt 2.72-2.78
Pt 0.0000 0.0000 0.5000 [3 per cell]  6 Pt 2.67
Pt 0.0049 0.5024 0.9145 [18 per cell]  7 Pt 2.67-2.78

Entry 20:
PmHoF | PBE | optimized geometry

a = 14.1621 Å, b = 3.3635 Å, c = 6.8673 Å
α = 90.00°, β = 112.91°, γ = 90.00°
Closest atoms and distances in Å follow each position.
Space group C2/m (No. 12)
Inequivalent atoms, fractional coordinates:
Pm 0.1091 0.0000 0.2250 [4 per cell]  2 F 2.66
Ho 0.1631 0.0000 0.7802 [4 per cell]  2 F 2.36
F 0.1014 0.5000 0.5191 [4 per cell]  2 Ho 2.36

formation energy (no corrections)	-1410	meV/atom

no.,total DFT energy (no corrections) (eV/cell)
1,-22.7
2,-152.0
3,-79.9
4,-45.9
5,-10.1
6,-17.3
7,-22.9
8,-35.8
9,-33.4
10,-70.2
11,-32.7
12,-26.6
13,-22.8
14,-105.1
15,-43.2
16,-11.8
17,-21.2
18,-83.2
19,-228.4
20,-61.7